# Pr2Sc2CCl5 (PBE, optimized geometry)
# * symmetry: No. 12
# * electronic total energy: -57.00 eV/cell
data_Pr2Sc2CCl5
_chemical_formula_sum 'Pr2 Sc2 C1 Cl5'
_space_group_name_H-M_alt 'P 1'
_space_group_IT_number 1
_cell_length_a 8.8278
_cell_length_b 8.8278
_cell_length_c 7.6229
_cell_angle_alpha 106.82
_cell_angle_beta 106.82
_cell_angle_gamma 23.78
loop_
_space_group_symop_operation_xyz
'x,y,z'
loop_
_atom_site_label
_atom_site_type_symbol
_atom_site_fract_x
_atom_site_fract_y
_atom_site_fract_z
Cl1 Cl 0.8477 0.8477 0.6142
Cl2 Cl 0.1523 0.1523 0.3858
Cl3 Cl 0.5000 0.5000 0.5000
Cl4 Cl 0.1596 0.1596 0.8236
Cl5 Cl 0.8404 0.8404 0.1764
C1 C 0.5000 0.5000 0.0000
Pr1 Pr 0.6516 0.6516 0.1061
Pr2 Pr 0.3484 0.3484 0.8939
Sc1 Sc 0.9993 0.9993 0.2009
Sc2 Sc 0.0007 0.0007 0.7991